[1]
# GGA-PBE Np2PaS4, relaxed
data_Np2PaS4
_chemical_formula_sum 'Np8 Pa4 S16'
_cell_length_a 8.277
_cell_length_b 8.277
_cell_length_c 8.269
_cell_angle_alpha 90.00
_cell_angle_beta 90.00
_cell_angle_gamma 90.00
_symmetry_space_group_name_H-M 'I -4 2 d'
_symmetry_Int_Tables_number 122
_symmetry_space_group_name_Hall 'I -4 2bw'
loop_
_atom_site_label
_atom_site_type_symbol
_atom_site_fract_x
_atom_site_fract_y
_atom_site_fract_z
Np1 Np 0.124 0.750 0.125
Pa1 Pa 0.000 0.000 0.500
S1 S 0.075 0.674 0.451
# E (eV for the cell shown): -248.59
# E_form (uncorrected) (eV per formula unit): -10.3
# DOS at the Fermi energy (states/eV per cell): 86.394


[2]
# GGA-PBE Np2ScPaS4, relaxed
data_Np2ScPaS4
_chemical_formula_sum 'Np2 Sc1 Pa1 S4'
_cell_length_a 6.562
_cell_length_b 3.831
_cell_length_c 6.795
_cell_angle_alpha 90.00
_cell_angle_beta 109.22
_cell_angle_gamma 90.00
_symmetry_space_group_name_H-M 'P 1 2/m 1'
_symmetry_Int_Tables_number 10
_symmetry_space_group_name_Hall '-P 2y'
loop_
_atom_site_label
_atom_site_type_symbol
_atom_site_fract_x
_atom_site_fract_y
_atom_site_fract_z
Np1 Np 0.000 0.000 0.000
Np2 Np 0.000 0.500 0.500
Sc1 Sc 0.500 0.000 0.500
Pa1 Pa 0.500 0.500 0.000
S1 S 0.254 0.000 0.739
S2 S 0.262 0.500 0.263
# E (eV for the cell shown): -70.59
# E_form (uncorrected) (eV per formula unit): -12.4
# DOS at the Fermi energy (states/eV per cell): 17.021


[3]
# GGA-PBE NpPaSeS, relaxed
data_NpPaSeS
_chemical_formula_sum 'Np3 Pa3 Se3 S3'
_cell_length_a 3.8620
_cell_length_b 3.8620
_cell_length_c 21.3023
_cell_angle_alpha 90.00
_cell_angle_beta 90.00
_cell_angle_gamma 120.00
_symmetry_space_group_name_H-M 'R 3 m'
_symmetry_Int_Tables_number 160
_symmetry_space_group_name_Hall 'R 3 -2"'
loop_
_atom_site_label
_atom_site_type_symbol
_atom_site_fract_x
_atom_site_fract_y
_atom_site_fract_z
Np1 Np 0.0000 0.0000 0.0000
Pa1 Pa 0.0000 0.0000 0.1844
Se1 Se 0.0000 0.0000 0.4239
S1 S 0.0000 0.0000 0.5952
# E (eV for the cell shown): -104.86
# E_form (uncorrected) (eV per formula unit): -4.9
# DOS at the Fermi energy (states/eV per cell): 28.406


[4]
# GGA-PBE SmNp2PaS4, relaxed
data_SmNp2PaS4
_chemical_formula_sum 'Sm1 Np2 Pa1 S4'
_cell_length_a 6.740
_cell_length_b 3.929
_cell_length_c 6.825
_cell_angle_alpha 90.00
_cell_angle_beta 109.61
_cell_angle_gamma 90.00
_symmetry_space_group_name_H-M 'P 1 2/m 1'
_symmetry_Int_Tables_number 10
_symmetry_space_group_name_Hall '-P 2y'
loop_
_atom_site_label
_atom_site_type_symbol
_atom_site_fract_x
_atom_site_fract_y
_atom_site_fract_z
Sm1 Sm 0.000 0.000 0.000
Np1 Np 0.500 0.000 0.500
Np2 Np 0.500 0.500 0.000
Pa1 Pa 0.000 0.500 0.500
S1 S 0.256 0.000 0.750
S2 S 0.257 0.500 0.255
# E (eV for the cell shown): -69.44
# E_form (uncorrected) (eV per formula unit): -12.8
# DOS at the Fermi energy (states/eV per cell): 13.257


[5]
# GGA-PBE Np2Pa2Te2S5, relaxed
data_Np2Pa2Te2S5
_chemical_formula_sum 'Np4 Pa4 Te4 S10'
_cell_length_a 5.143
_cell_length_b 5.143
_cell_length_c 26.318
_cell_angle_alpha 90.00
_cell_angle_beta 90.00
_cell_angle_gamma 90.00
_symmetry_space_group_name_H-M 'I 4/m m m'
_symmetry_Int_Tables_number 139
_symmetry_space_group_name_Hall '-I 4 2'
loop_
_atom_site_label
_atom_site_type_symbol
_atom_site_fract_x
_atom_site_fract_y
_atom_site_fract_z
Np1 Np 0.000 0.000 0.167
Pa1 Pa 0.000 0.000 0.401
Te1 Te 0.000 0.000 0.285
S1 S 0.000 0.000 0.500
S2 S 0.000 0.500 0.115
# E (eV for the cell shown): -169.31
# E_form (uncorrected) (eV per formula unit): -12.9
# DOS at the Fermi energy (states/eV per cell): 41.975


[6]
# GGA-PBE NpPaTeS2, relaxed
data_NpPaTeS2
_chemical_formula_sum 'Np2 Pa2 Te2 S4'
_cell_length_a 8.252
_cell_length_b 4.043
_cell_length_c 8.675
_cell_angle_alpha 90.00
_cell_angle_beta 114.68
_cell_angle_gamma 90.00
_symmetry_space_group_name_H-M 'P 1 21/m 1'
_symmetry_Int_Tables_number 11
_symmetry_space_group_name_Hall '-P 2yb'
loop_
_atom_site_label
_atom_site_type_symbol
_atom_site_fract_x
_atom_site_fract_y
_atom_site_fract_z
Np1 Np 0.188 0.250 0.189
Pa1 Pa 0.206 0.750 0.731
Te1 Te 0.453 0.750 0.155
S1 S 0.049 0.250 0.846
S2 S 0.164 0.250 0.494
# E (eV for the cell shown): -79.99
# E_form (uncorrected) (eV per formula unit): -6.2
# DOS at the Fermi energy (states/eV per cell): 20.690


[7]
# GGA-PBE Np2PaTl3S6, relaxed
data_Np2PaTl3S6
_chemical_formula_sum 'Np4 Pa2 Tl6 S12'
_cell_length_a 7.027
_cell_length_b 12.168
_cell_length_c 7.914
_cell_angle_alpha 90.00
_cell_angle_beta 107.19
_cell_angle_gamma 90.00
_symmetry_space_group_name_H-M 'C 1 2/m 1'
_symmetry_Int_Tables_number 12
_symmetry_space_group_name_Hall '-C 2y'
loop_
_atom_site_label
_atom_site_type_symbol
_atom_site_fract_x
_atom_site_fract_y
_atom_site_fract_z
Np1 Np 0.000 0.166 0.000
Pa1 Pa 0.000 0.500 0.000
Tl1 Tl 0.000 0.000 0.500
Tl2 Tl 0.000 0.331 0.500
S1 S 0.228 0.336 0.193
S2 S 0.237 0.000 0.195
# E (eV for the cell shown): -160.28
# E_form (uncorrected) (eV per formula unit): -12.9
# DOS at the Fermi energy (states/eV per cell): 43.050


[8]
# GGA-PBE NpPaTl2S4, relaxed
data_NpPaTl2S4
_chemical_formula_sum 'Np1 Pa1 Tl2 S4'
_cell_length_a 7.009
_cell_length_b 4.044
_cell_length_c 7.960
_cell_angle_alpha 90.00
_cell_angle_beta 106.96
_cell_angle_gamma 90.00
_symmetry_space_group_name_H-M 'P 1 2/m 1'
_symmetry_Int_Tables_number 10
_symmetry_space_group_name_Hall '-P 2y'
loop_
_atom_site_label
_atom_site_type_symbol
_atom_site_fract_x
_atom_site_fract_y
_atom_site_fract_z
Np1 Np 0.000 0.000 0.000
Pa1 Pa 0.500 0.500 0.000
Tl1 Tl 0.000 0.500 0.500
Tl2 Tl 0.500 0.000 0.500
S1 S 0.236 0.500 0.193
S2 S 0.273 0.000 0.805
# E (eV for the cell shown): -52.36
# E_form (uncorrected) (eV per formula unit): -8.7
# DOS at the Fermi energy (states/eV per cell): 11.562


[9]
# GGA-PBE Np3PaTl3S8, relaxed
data_Np3PaTl3S8
_chemical_formula_sum 'Np9 Pa3 Tl9 S24'
_cell_length_a 8.0884
_cell_length_b 8.0884
_cell_length_c 22.6610
_cell_angle_alpha 90.00
_cell_angle_beta 90.00
_cell_angle_gamma 120.00
_symmetry_space_group_name_H-M 'R -3 m'
_symmetry_Int_Tables_number 166
_symmetry_space_group_name_Hall '-R 3 2"'
loop_
_atom_site_label
_atom_site_type_symbol
_atom_site_fract_x
_atom_site_fract_y
_atom_site_fract_z
Np1 Np 0.0000 0.5000 0.0000
Pa1 Pa 0.0000 0.0000 0.0000
Tl1 Tl 0.0000 0.5000 0.5000
S1 S 0.0000 0.0000 0.2698
S2 S 0.0067 0.5033 0.7309
# E (eV for the cell shown): -317.41
# E_form (uncorrected) (eV per formula unit): -17.4
# DOS at the Fermi energy (states/eV per cell): 82.439


[10]
# GGA-PBE Np2U3PaS6, relaxed
data_Np2U3PaS6
_chemical_formula_sum 'Np4 U6 Pa2 S12'
_cell_length_a 6.536
_cell_length_b 11.314
_cell_length_c 7.025
_cell_angle_alpha 90.00
_cell_angle_beta 108.07
_cell_angle_gamma 90.00
_symmetry_space_group_name_H-M 'C 1 2/m 1'
_symmetry_Int_Tables_number 12
_symmetry_space_group_name_Hall '-C 2y'
loop_
_atom_site_label
_atom_site_type_symbol
_atom_site_fract_x
_atom_site_fract_y
_atom_site_fract_z
Np1 Np 0.000 0.167 0.000
U1 U 0.000 0.000 0.500
U2 U 0.000 0.333 0.500
Pa1 Pa 0.000 0.500 0.000
S1 S 0.249 0.167 0.749
S2 S 0.250 0.000 0.251
# E (eV for the cell shown): -222.22
# E_form (uncorrected) (eV per formula unit): -17.1
# DOS at the Fermi energy (states/eV per cell): 48.620


[11]
# GGA-PBE NpU2PaS5, relaxed
data_NpU2PaS5
_chemical_formula_sum 'Np4 U8 Pa4 S20'
_cell_length_a 3.720
_cell_length_b 16.038
_cell_length_c 12.843
_cell_angle_alpha 90.00
_cell_angle_beta 90.00
_cell_angle_gamma 90.00
_symmetry_space_group_name_H-M 'C m c 21'
_symmetry_Int_Tables_number 36
_symmetry_space_group_name_Hall 'C 2c -2'
loop_
_atom_site_label
_atom_site_type_symbol
_atom_site_fract_x
_atom_site_fract_y
_atom_site_fract_z
Np1 Np 0.000 0.204 0.000
U1 U 0.000 0.113 0.684
U2 U 0.000 0.140 0.297
Pa1 Pa 0.000 0.468 0.447
S1 S 0.000 0.049 0.093
S2 S 0.000 0.285 0.659
S3 S 0.000 0.315 0.339
S4 S 0.000 0.368 0.989
S5 S 0.000 0.490 0.756
# E (eV for the cell shown): -305.75
# E_form (uncorrected) (eV per formula unit): -10.8
# DOS at the Fermi energy (states/eV per cell): 83.301


[12]
# GGA-PBE NpU2PaS4, relaxed
data_NpU2PaS4
_chemical_formula_sum 'Np1 U2 Pa1 S4'
_cell_length_a 6.534
_cell_length_b 3.786
_cell_length_c 7.015
_cell_angle_alpha 90.00
_cell_angle_beta 108.23
_cell_angle_gamma 90.00
_symmetry_space_group_name_H-M 'P 1 2/m 1'
_symmetry_Int_Tables_number 10
_symmetry_space_group_name_Hall '-P 2y'
loop_
_atom_site_label
_atom_site_type_symbol
_atom_site_fract_x
_atom_site_fract_y
_atom_site_fract_z
Np1 Np 0.000 0.000 0.000
U1 U 0.000 0.500 0.500
U2 U 0.500 0.000 0.500
Pa1 Pa 0.500 0.500 0.000
S1 S 0.248 0.000 0.747
S2 S 0.249 0.500 0.251
# E (eV for the cell shown): -73.09
# E_form (uncorrected) (eV per formula unit): -11.6
# DOS at the Fermi energy (states/eV per cell): 14.599